Below is a relaxed structure of TaSeBr2Cl, with properties calculated at the PBE-GGA level. Values from VASP.

```
&SYSTEM
  ibrav = 0, nat = 5, ntyp = 4
/
ATOMIC_SPECIES
Br 79.90 Br.upf
Cl 35.45 Cl.upf
Ta 180.95 Ta.upf
Se 78.96 Se.upf
CELL_PARAMETERS angstrom
4.9873 0.0000 0.0000
0.0000 4.9873 0.0000
0.0000 0.0000 5.4030
ATOMIC_POSITIONS crystal
Br 0.0000 0.5000 0.0000
Br 0.5000 0.0000 0.0000
Cl 0.0000 0.0000 0.0000
Ta 0.5000 0.5000 0.5000
Se 0.0000 0.0000 0.5000
```

Output
volume = 26.88 Å³ per atom
DOS(E_F) = 5.34 states/eV/cell
symmetry = No. 123
ΔE_f (raw) = 1323 meV per atom